The following is a PBE-GGA calculation of La2TmPb after structural relaxation, from Alexandria.

Cell lengths 4.3920, 4.3920, 6.8045 Å; angles 90.00, 90.00, 90.00 degrees
Positions (direct):
La: 0.0000 0.0000 0.2675
La: 0.0000 0.0000 0.7325
Pb: 0.5000 0.5000 0.5000
Tm: 0.5000 0.5000 0.0000

Symmetry = P4/mmm
Formation energy from the elements = -286 meV/atom


The following is a PBE-GGA calculation of Cs2InHg16 after structural relaxation, from Alexandria.

Cell lengths 8.5405, 8.5405, 8.5405 Å; angles 79.47, 79.47, 79.47 degrees
Positions (direct):
In: 0.9172 0.9172 0.9172
Hg: 0.8682 0.3451 0.3451
Hg: 0.3451 0.8682 0.3451
Hg: 0.7098 0.2960 0.0002
Hg: 0.9819 0.5388 0.9819
Hg: 0.7098 0.0002 0.2960
Hg: 0.5388 0.9819 0.9819
Hg: 0.6267 0.1699 0.6267
Hg: 0.1053 0.1053 0.1053
Hg: 0.0002 0.7098 0.2960
Hg: 0.9819 0.9819 0.5388
Hg: 0.6267 0.6267 0.1699
Hg: 0.0002 0.2960 0.7098
Hg: 0.3451 0.3451 0.8682
Hg: 0.2960 0.7098 0.0002
Hg: 0.2960 0.0002 0.7098
Hg: 0.1699 0.6267 0.6267
Cs: 0.3284 0.3284 0.3284
Cs: 0.6528 0.6528 0.6528

Symmetry = R3m
Formation energy from the elements = -118 meV/atom


The following is a PBE-GGA calculation of LaHfBe2 after structural relaxation, from Alexandria.

Cell lengths 4.7473, 4.7473, 4.7473 Å; angles 60.00, 60.00, 60.00 degrees
Positions (direct):
Be: 0.2500 0.2500 0.2500
Be: 0.7500 0.7500 0.7500
Hf: 0.5000 0.5000 0.5000
La: 0.0000 0.0000 0.0000

Symmetry = Fm-3m
Formation energy from the elements = 270 meV/atom


The following is a PBE-GGA calculation of YSc2Re after structural relaxation, from Alexandria.

Cell lengths 10.6850, 10.6850, 10.6850 Å; angles 17.33, 17.33, 17.33 degrees
Positions (direct):
Re: 0.5000 0.5000 0.5000
Y: 0.0000 0.0000 0.0000
Sc: 0.8960 0.8960 0.8960
Sc: 0.1040 0.1040 0.1040

Symmetry = R-3m
Formation energy from the elements = 270 meV/atom


The following is a PBE-GGA calculation of Cs2SiTeF6 after structural relaxation, from Alexandria.

Cell lengths 7.3901, 7.3901, 6.6376 Å; angles 56.17, 56.17, 90.00 degrees
Positions (direct):
Cs: 0.7500 0.2500 0.5000
Cs: 0.2500 0.7500 0.5000
F: 0.7171 0.7171 0.5659
F: 0.6622 0.3378 0.0000
F: 0.6622 0.6622 0.0000
F: 0.3378 0.3378 0.0000
F: 0.3378 0.6622 0.0000
F: 0.2829 0.2829 0.4341
Si: 0.5000 0.5000 0.0000
Te: 0.0000 0.0000 0.0000

Symmetry = I4/mmm
Electronic total energy = -0.1736 Ha/atom


The following is a PBE-GGA calculation of NdHo2InPd4 after structural relaxation, from Alexandria.

Cell lengths 4.9021, 4.9021, 8.5827 Å; angles 73.41, 73.41, 60.00 degrees
Positions (direct):
In: 0.5000 0.5000 0.5000
Pd: 0.3807 0.3807 0.8578
Pd: 0.6193 0.6193 0.1422
Pd: 0.8755 0.8755 0.3734
Pd: 0.1245 0.1245 0.6266
Ho: 0.7561 0.7561 0.7318
Ho: 0.2439 0.2439 0.2682
Nd: 0.0000 0.0000 0.0000

Symmetry = R-3m
Formation energy from the elements = -796 meV/atom